[1]
Below is Te2RuRhI after structural relaxation, with properties calculated at the PBE level. Values from VASP.

Geometry as Quantum ESPRESSO input:
```
&SYSTEM
  ibrav = 0, nat = 5, ntyp = 4
/
ATOMIC_SPECIES
Ru 101.07 Ru.upf
Rh 102.91 Rh.upf
Te 127.60 Te.upf
I 126.90 I.upf
ATOMIC_POSITIONS angstrom
Ru 0.000 0.000 0.000
Rh 1.574 1.342 4.030
Te 0.641 -1.584 1.868
I 2.257 1.526 0.519
Te -1.324 1.400 1.642
CELL_PARAMETERS angstrom
-2.649 2.800 3.284
1.282 -3.169 3.736
4.515 3.052 1.039
```

**DFT total energy**: -3.93 eV per atom
**Polymorph energy (0 for the lowest one)**: 0.9 kJ per mole of atoms
**Volume**: 142.3 Å³/cell



[2]
Below is TeRuRhI2 after structural relaxation, with properties calculated at the PBE level. Values from VASP.

Geometry as Quantum ESPRESSO input:
```
&SYSTEM
  ibrav = 0, nat = 5, ntyp = 4
/
ATOMIC_SPECIES
Rh 102.91 Rh.upf
Te 127.60 Te.upf
Ru 101.07 Ru.upf
I 126.90 I.upf
ATOMIC_POSITIONS angstrom
Rh 2.755 2.755 2.474
Te 0.000 0.000 2.474
Ru 0.000 0.000 0.000
I 0.000 2.755 0.000
I 2.755 0.000 0.000
CELL_PARAMETERS angstrom
5.510 0.000 0.000
0.000 5.510 0.000
0.000 0.000 4.948
```

**DFT total energy**: -3.59 eV per atom
**Polymorph energy (0 for the lowest one)**: 0.0 kJ per mole of atoms
**Volume**: 150.2 Å³/cell



[3]
Below is TlRuRhI2 after structural relaxation, with properties calculated at the PBE level. Values from VASP.

Geometry as Quantum ESPRESSO input:
```
&SYSTEM
  ibrav = 0, nat = 5, ntyp = 4
/
ATOMIC_SPECIES
I 126.90 I.upf
Tl 204.38 Tl.upf
Rh 102.91 Rh.upf
Ru 101.07 Ru.upf
ATOMIC_POSITIONS angstrom
I 2.750 0.000 0.000
Tl 2.750 2.380 2.750
Rh 0.000 2.380 0.000
I 0.000 0.000 2.750
Ru 0.000 0.000 0.000
CELL_PARAMETERS angstrom
5.499 0.000 0.000
0.000 4.760 0.000
0.000 0.000 5.499
```

**DFT total energy**: -3.89 eV per atom
**Volume**: 144.0 Å³/cell



[4]
Below is RhSI2 after structural relaxation, with properties calculated at the PBE level. Values from VASP.

Geometry as Quantum ESPRESSO input:
```
&SYSTEM
  ibrav = 0, nat = 4, ntyp = 3
/
ATOMIC_SPECIES
Rh 102.91 Rh.upf
S 32.06 S.upf
I 126.90 I.upf
ATOMIC_POSITIONS angstrom
Rh 3.522 3.522 3.522
S 0.000 0.000 0.000
I 5.282 5.282 5.282
I 1.761 1.761 1.761
CELL_PARAMETERS angstrom
0.000 3.522 3.522
3.522 0.000 3.522
3.522 3.522 0.000
```

**DFT total energy**: -2.78 eV per atom
**Polymorph energy (0 for the lowest one)**: 33.0 kJ per mole of atoms
**Volume**: 87.3 Å³/cell



[5]
Below is RhSI after structural relaxation, with properties calculated at the PBE level. Values from VASP.

Geometry as Quantum ESPRESSO input:
```
&SYSTEM
  ibrav = 0, nat = 6, ntyp = 3
/
ATOMIC_SPECIES
I 126.90 I.upf
Rh 102.91 Rh.upf
S 32.06 S.upf
ATOMIC_POSITIONS angstrom
I 10.279 0.000 0.755
Rh 20.782 0.000 1.527
I 26.568 0.000 1.952
Rh 16.066 0.000 1.181
S 4.924 0.000 0.362
S 31.923 0.000 2.346
CELL_PARAMETERS angstrom
12.359 -1.819 -0.145
12.359 1.819 -0.145
12.129 0.000 2.997
```

**DFT total energy**: -4.56 eV per atom
**Volume**: 141.1 Å³/cell



[6]
Below is RhSI after structural relaxation, with properties calculated at the PBE level. Values from VASP.

Geometry as Quantum ESPRESSO input:
```
&SYSTEM
  ibrav = 0, nat = 6, ntyp = 3
/
ATOMIC_SPECIES
S 32.06 S.upf
Rh 102.91 Rh.upf
I 126.90 I.upf
ATOMIC_POSITIONS angstrom
S -3.600 -2.922 1.046
S -0.350 -3.444 -4.392
Rh -3.609 -2.095 -1.162
I -3.093 -4.566 -2.335
Rh -0.341 -4.270 -2.184
I -0.856 -1.799 -1.011
CELL_PARAMETERS angstrom
-2.321 0.782 -2.669
3.783 -3.356 -4.273
-5.412 -3.791 3.596
```

**DFT total energy**: -4.67 eV per atom
**Volume**: 159.8 Å³/cell



[7]
Below is Rh2SI2 after structural relaxation, with properties calculated at the PBE level. Values from VASP.

Geometry as Quantum ESPRESSO input:
```
&SYSTEM
  ibrav = 0, nat = 10, ntyp = 3
/
ATOMIC_SPECIES
I 126.90 I.upf
Rh 102.91 Rh.upf
S 32.06 S.upf
ATOMIC_POSITIONS angstrom
I 0.358 -7.630 -1.969
I -2.026 -6.382 0.676
I 2.348 -4.437 -1.681
Rh -2.793 -3.825 -0.017
Rh 0.354 -2.205 -1.583
I -0.036 -3.189 0.964
Rh -2.299 -6.946 -2.252
Rh 0.848 -5.326 -3.818
S 0.000 0.000 0.000
S -0.972 -4.575 -1.918
CELL_PARAMETERS angstrom
-5.018 -4.975 1.087
3.073 -4.176 -4.922
2.267 -1.668 2.831
```

**DFT total energy**: -3.85 eV per atom
**Polymorph energy (0 for the lowest one)**: 10.7 kJ per mole of atoms
**Volume**: 204.0 Å³/cell



[8]
Below is RhSI after structural relaxation, with properties calculated at the PBE level. Values from VASP.

Geometry as Quantum ESPRESSO input:
```
&SYSTEM
  ibrav = 0, nat = 3, ntyp = 3
/
ATOMIC_SPECIES
I 126.90 I.upf
Rh 102.91 Rh.upf
S 32.06 S.upf
ATOMIC_POSITIONS angstrom
I -0.042 0.105 0.552
Rh -1.920 1.558 1.900
S -2.144 -0.301 3.405
CELL_PARAMETERS angstrom
-1.612 3.204 -0.731
-2.030 -3.016 0.422
-0.464 1.174 6.167
```

**DFT total energy**: -4.56 eV per atom
**Volume**: 73.0 Å³/cell



- Number 6 is which compound?
  RhSI